Below is a relaxed structure of PrTh5Sb8, with properties calculated at the GGA-PBE level.

extended XYZ file:
```
14
Lattice="-4.726 4.726 4.738 4.726 -4.726 4.738 4.726 4.726 -4.738" Properties=species:S:1:pos:R:3 pbc="T T T"
Pr 0.000 0.000 0.000
Th 2.368 3.539 -1.211
Th 5.913 2.368 1.211
Th 2.358 1.187 3.527
Th 0.000 4.726 2.369
Th -1.187 2.358 5.950
Sb 3.138 0.751 0.427
Sb 5.496 3.105 -1.909
Sb 3.975 -1.588 4.312
Sb -0.770 1.621 2.829
Sb 3.105 3.956 1.909
Sb 0.751 6.314 -0.427
Sb 1.621 0.770 6.648
Sb 1.588 3.975 5.165
```

As for the space group: No. 82. The value obtained for the final energy is -6.282 eV per atom. The calculation puts the energy relative to the elements, uncorrected at -90 kJ per mole of atoms.


Below is a relaxed structure of Cr3CuHg, with properties calculated at the GGA-PBE level.

extended XYZ file:
```
5
Lattice="4.692 0.000 0.000 0.000 4.692 0.000 0.000 0.000 4.692" Properties=species:S:1:pos:R:3 pbc="T T T"
Cr 0.000 0.000 2.346
Cr 0.000 2.346 0.000
Cr 2.346 0.000 0.000
Cu 0.000 0.000 0.000
Hg 2.346 2.346 2.346
```

As for the space group: No. 221. The value obtained for the final energy is -5.491 eV per atom. The formation energy comes out at 1.1628 eV/atom.